1.
The following is a DFT calculation (GGA-PBE) of an optimized crystal structure of K2Na2PuO4.

Cell and atoms, written as CIF:
```
data_K2Na2PuO4
_chemical_formula_sum 'K4 Na4 Pu2 O8'
_space_group_name_H-M_alt 'C 1 2/m 1'
_space_group_IT_number 12
_cell_length_a 12.730
_cell_length_b 3.591
_cell_length_c 8.860
_cell_angle_alpha 90.00
_cell_angle_beta 126.73
_cell_angle_gamma 90.00
loop_
_space_group_symop_operation_xyz
'x,y,z'
'-x,-y,-z'
'-x,y,-z'
'x,-y,z'
'x+1/2,y+1/2,z'
'-x+1/2,-y+1/2,-z'
'-x+1/2,y+1/2,-z'
'x+1/2,-y+1/2,z'
loop_
_atom_site_label
_atom_site_fract_x
_atom_site_fract_y
_atom_site_fract_z
K1 0.183 0.000 0.291
Na1 0.137 0.500 0.889
Pu1 0.000 0.000 0.500
O1 0.065 0.500 0.410
O2 0.185 0.000 0.773
```

Values from the calculation:
E	-112.50	eV per cell
raw formation energy	-17.3	eV/f.u.
magnetic moment	3.99	μB/f.u.
crystal system	monoclinic


2.
The following is a DFT calculation (GGA-PBE) of an optimized crystal structure of K3GaCu.

Cell and atoms, written as CIF:
```
data_K3GaCu
_chemical_formula_sum 'K3 Ga1 Cu1'
_space_group_name_H-M_alt 'P m -3 m'
_space_group_IT_number 221
_space_group_name_Hall '-P 4 2 3'
_cell_length_a 6.203
_cell_length_b 6.203
_cell_length_c 6.203
_cell_angle_alpha 90.00
_cell_angle_beta 90.00
_cell_angle_gamma 90.00
loop_
_atom_site_label
_atom_site_fract_x
_atom_site_fract_y
_atom_site_fract_z
K1 0.000 0.000 0.500
Ga1 0.500 0.500 0.500
Cu1 0.000 0.000 0.000
```

Values from the calculation:
E above lowest polymorph	0	meV/atom
energy relative to the elements	0.42	eV/atom
E	-8.31	eV per cell
magnetic moment	0.00	μB/f.u.
crystal system	cubic